Entry 1:
# Ti2TcAs4, relaxed, DFT PBE
data_Ti2TcAs4
_cell_length_a 13.596
_cell_length_b 3.367
_cell_length_c 6.265
_cell_angle_alpha 90.00
_cell_angle_beta 115.94
_cell_angle_gamma 90.00
_space_group_name_H-M_alt 'C 1 2/m 1'
_space_group_IT_number 12
loop_
_space_group_symop_operation_xyz
'x,y,z'
'-x,-y,-z'
'-x,y,-z'
'x,-y,z'
'x+1/2,y+1/2,z'
'-x+1/2,-y+1/2,-z'
'-x+1/2,y+1/2,-z'
'x+1/2,-y+1/2,z'
loop_
_atom_site_label
_atom_site_fract_x
_atom_site_fract_y
_atom_site_fract_z
_atom_site_occupancy
Ti1 0.250 0.000 0.250 1
Tc1 0.000 0.000 0.000 1
As1 0.113 0.500 0.311 1
As2 0.121 0.000 0.795 1
# ΔE_f = -0.488 eV/atom
# size of the total moment = 0.00 μB per formula unit
# DOS at the Fermi energy = 0.50 states/eV/atom
# raw total energy = -96.34 eV per cell

Entry 2:
# Ti2TcAs, relaxed, DFT PBE
data_Ti2TcAs
_cell_length_a 6.989
_cell_length_b 6.989
_cell_length_c 5.406
_cell_angle_alpha 90.00
_cell_angle_beta 90.00
_cell_angle_gamma 90.00
_space_group_name_H-M_alt 'I -4 2 d'
_space_group_IT_number 122
_space_group_name_Hall 'I -4 2bw'
loop_
_atom_site_label
_atom_site_fract_x
_atom_site_fract_y
_atom_site_fract_z
_atom_site_occupancy
Ti1 0.240 0.250 0.125 1
Tc1 0.000 0.000 0.000 1
As1 0.000 0.000 0.500 1
# ΔE_f = -0.038 eV/atom
# size of the total moment = 0.00 μB per formula unit
# DOS at the Fermi energy = 0.84 states/eV/atom
# raw total energy = -123.83 eV per cell

Entry 3:
# TiTcAs2, relaxed, DFT PBE
data_TiTcAs2
_cell_length_a 3.328
_cell_length_b 6.708
_cell_length_c 5.844
_cell_angle_alpha 90.00
_cell_angle_beta 90.00
_cell_angle_gamma 90.00
_space_group_name_H-M_alt 'I m m 2'
_space_group_IT_number 44
loop_
_space_group_symop_operation_xyz
'x,y,z'
'-x,-y,z'
'-x,y,z'
'x,-y,z'
'x+1/2,y+1/2,z+1/2'
'-x+1/2,-y+1/2,z+1/2'
'-x+1/2,y+1/2,z+1/2'
'x+1/2,-y+1/2,z+1/2'
loop_
_atom_site_label
_atom_site_fract_x
_atom_site_fract_y
_atom_site_fract_z
_atom_site_occupancy
Ti1 0.000 0.000 0.000 1
Tc1 0.000 0.500 0.988 1
As1 0.000 0.251 0.325 1
# ΔE_f = -0.517 eV/atom
# size of the total moment = 0.00 μB per formula unit
# DOS at the Fermi energy = 0.70 states/eV/atom
# excess energy over the best structure of this formula in the dataset = 25 meV/atom
# raw total energy = -59.26 eV per cell

Entry 4:
# TiTcAs2, relaxed, DFT PBE
data_TiTcAs2
_cell_length_a 6.769
_cell_length_b 3.891
_cell_length_c 5.687
_cell_angle_alpha 90.00
_cell_angle_beta 113.53
_cell_angle_gamma 90.00
_space_group_name_H-M_alt 'C 1 m 1'
_space_group_IT_number 8
loop_
_space_group_symop_operation_xyz
'x,y,z'
'x,-y,z'
'x+1/2,y+1/2,z'
'x+1/2,-y+1/2,z'
loop_
_atom_site_label
_atom_site_fract_x
_atom_site_fract_y
_atom_site_fract_z
_atom_site_occupancy
Ti1 0.000 0.000 0.000 1
Tc1 0.313 0.500 0.440 1
As1 0.234 0.000 0.703 1
As2 0.421 0.000 0.261 1
# ΔE_f = -0.321 eV/atom
# size of the total moment = 0.00 μB per formula unit
# DOS at the Fermi energy = 0.76 states/eV/atom
# excess energy over the best structure of this formula in the dataset = 221 meV/atom
# raw total energy = -57.69 eV per cell

Entry 5:
# TiTcAs2, relaxed, DFT PBE
data_TiTcAs2
_cell_length_a 5.211
_cell_length_b 5.211
_cell_length_c 12.985
_cell_angle_alpha 90.00
_cell_angle_beta 90.00
_cell_angle_gamma 90.00
_space_group_name_H-M_alt 'I -4 2 d'
_space_group_IT_number 122
_space_group_name_Hall 'I -4 2bw'
loop_
_atom_site_label
_atom_site_fract_x
_atom_site_fract_y
_atom_site_fract_z
_atom_site_occupancy
Ti1 0.000 0.000 0.000 1
Tc1 0.000 0.000 0.500 1
As1 0.226 0.250 0.625 1
# ΔE_f = 0.118 eV/atom
# size of the total moment = 0.00 μB per formula unit
# DOS at the Fermi energy = 1.24 states/eV/atom
# excess energy over the best structure of this formula in the dataset = 661 meV/atom
# raw total energy = -108.35 eV per cell

Entry 6:
# TiTcAs2, relaxed, DFT PBE
data_TiTcAs2
_cell_length_a 3.7240
_cell_length_b 3.7240
_cell_length_c 17.0024
_cell_angle_alpha 90.00
_cell_angle_beta 90.00
_cell_angle_gamma 120.00
_space_group_name_H-M_alt 'R 3 m'
_space_group_IT_number 160
_space_group_name_Hall 'R 3 -2"'
loop_
_atom_site_label
_atom_site_fract_x
_atom_site_fract_y
_atom_site_fract_z
_atom_site_occupancy
Ti1 0.0000 0.0000 0.0000 1
Tc1 0.0000 0.0000 0.8238 1
As1 0.0000 0.0000 0.4163 1
As2 0.0000 0.0000 0.5768 1
# ΔE_f = -0.359 eV/atom
# size of the total moment = 0.00 μB per formula unit
# DOS at the Fermi energy = 0.68 states/eV/atom
# excess energy over the best structure of this formula in the dataset = 184 meV/atom
# raw total energy = -86.99 eV per cell

Entry 7:
# TiTc2As, relaxed, DFT PBE
data_TiTc2As
_cell_length_a 4.266
_cell_length_b 4.266
_cell_length_c 3.185
_cell_angle_alpha 90.00
_cell_angle_beta 90.00
_cell_angle_gamma 90.00
_space_group_name_H-M_alt 'P 4/m m m'
_space_group_IT_number 123
_space_group_name_Hall '-P 4 2'
loop_
_atom_site_label
_atom_site_fract_x
_atom_site_fract_y
_atom_site_fract_z
_atom_site_occupancy
Ti1 0.000 0.000 0.000 1
Tc1 0.000 0.500 0.500 1
As1 0.500 0.500 0.000 1
# ΔE_f = -0.361 eV/atom
# size of the total moment = 0.00 μB per formula unit
# DOS at the Fermi energy = 0.73 states/eV/atom
# raw total energy = -34.72 eV per cell

Entry 8:
# Ti6Tc5As, relaxed, DFT PBE
data_Ti6Tc5As
_cell_length_a 4.376
_cell_length_b 6.299
_cell_length_c 13.121
_cell_angle_alpha 90.00
_cell_angle_beta 90.00
_cell_angle_gamma 90.00
_space_group_name_H-M_alt 'I m m m'
_space_group_IT_number 71
_space_group_name_Hall '-I 2 2'
loop_
_atom_site_label
_atom_site_fract_x
_atom_site_fract_y
_atom_site_fract_z
_atom_site_occupancy
Ti1 0.000 0.237 0.000 1
Ti2 0.000 0.255 0.330 1
Tc1 0.000 0.000 0.168 1
Tc2 0.000 0.500 0.162 1
Tc3 0.000 0.500 0.500 1
As1 0.000 0.000 0.500 1
# ΔE_f = -0.549 eV/atom
# size of the total moment = 0.00 μB per formula unit
# DOS at the Fermi energy = 0.73 states/eV/atom
# raw total energy = -220.88 eV per cell

Entry 9:
# TiTcAs3, relaxed, DFT PBE
data_TiTcAs3
_cell_length_a 4.796
_cell_length_b 4.796
_cell_length_c 4.796
_cell_angle_alpha 90.00
_cell_angle_beta 90.00
_cell_angle_gamma 90.00
_space_group_name_H-M_alt 'P m -3 m'
_space_group_IT_number 221
_space_group_name_Hall '-P 4 2 3'
loop_
_atom_site_label
_atom_site_fract_x
_atom_site_fract_y
_atom_site_fract_z
_atom_site_occupancy
Ti1 0.000 0.000 0.000 1
Tc1 0.500 0.500 0.500 1
As1 0.000 0.500 0.500 1
# ΔE_f = 0.675 eV/atom
# size of the total moment = 0.58 μB per formula unit
# DOS at the Fermi energy = 2.18 states/eV/atom
# excess energy over the best structure of this formula in the dataset = 0 meV/atom
# raw total energy = -28.83 eV per cell

Entry 10:
# TiTc3As6, relaxed, DFT PBE
data_TiTc3As6
_cell_length_a 10.779
_cell_length_b 3.204
_cell_length_c 11.247
_cell_angle_alpha 90.00
_cell_angle_beta 117.54
_cell_angle_gamma 90.00
_space_group_name_H-M_alt 'P 1 21/m 1'
_space_group_IT_number 11
loop_
_space_group_symop_operation_xyz
'x,y,z'
'-x,-y,-z'
'-x,y+1/2,-z'
'x,-y+1/2,z'
loop_
_atom_site_label
_atom_site_fract_x
_atom_site_fract_y
_atom_site_fract_z
_atom_site_occupancy
Ti1 0.229 0.250 0.132 1
Tc1 0.015 0.250 0.287 1
Tc2 0.382 0.250 0.925 1
Tc3 0.441 0.750 0.576 1
As1 0.030 0.750 0.123 1
As2 0.159 0.250 0.696 1
As3 0.209 0.750 0.942 1
As4 0.231 0.250 0.507 1
As5 0.350 0.750 0.334 1
As6 0.476 0.750 0.817 1
# ΔE_f = -0.289 eV/atom
# size of the total moment = 0.00 μB per formula unit
# DOS at the Fermi energy = 0.71 states/eV/atom
# raw total energy = -139.56 eV per cell

Entry 11:
# TiTcAs2, relaxed, DFT PBE
data_TiTcAs2
_cell_length_a 8.969
_cell_length_b 3.205
_cell_length_c 4.503
_cell_angle_alpha 90.00
_cell_angle_beta 103.48
_cell_angle_gamma 90.00
_space_group_name_H-M_alt 'C 1 m 1'
_space_group_IT_number 8
loop_
_space_group_symop_operation_xyz
'x,y,z'
'x,-y,z'
'x+1/2,y+1/2,z'
'x+1/2,-y+1/2,z'
loop_
_atom_site_label
_atom_site_fract_x
_atom_site_fract_y
_atom_site_fract_z
_atom_site_occupancy
Ti1 0.000 0.000 0.000 1
Tc1 0.284 0.500 0.390 1
As1 0.011 0.500 0.511 1
As2 0.269 0.000 0.900 1
# ΔE_f = -0.449 eV/atom
# size of the total moment = 0.00 μB per formula unit
# DOS at the Fermi energy = 0.63 states/eV/atom
# excess energy over the best structure of this formula in the dataset = 93 meV/atom
# raw total energy = -58.71 eV per cell

Entry 12:
# TiTcAs2, relaxed, DFT PBE
data_TiTcAs2
_cell_length_a 6.260
_cell_length_b 6.260
_cell_length_c 6.260
_cell_angle_alpha 90.00
_cell_angle_beta 90.00
_cell_angle_gamma 90.00
_space_group_name_H-M_alt 'F m -3 m'
_space_group_IT_number 225
_space_group_name_Hall '-F 4 2 3'
loop_
_atom_site_label
_atom_site_fract_x
_atom_site_fract_y
_atom_site_fract_z
_atom_site_occupancy
Ti1 0.000 0.000 0.000 1
Tc1 0.000 0.000 0.500 1
As1 0.250 0.250 0.250 1
# ΔE_f = -0.328 eV/atom
# size of the total moment = 1.12 μB per formula unit
# DOS at the Fermi energy = 1.06 states/eV/atom
# excess energy over the best structure of this formula in the dataset = 214 meV/atom
# raw total energy = -115.49 eV per cell